(1)
Crystalline BaCaSi at its relaxed geometry, computed with PBEsol.

abc: 4.9924 8.4629 9.0597
angles: 90.00 90.00 90.00
Fractional coordinates of all 12 atoms:
Si1 0.7500 0.7188 0.8906
Si2 0.2500 0.7812 0.3906
Si3 0.7500 0.2188 0.6094
Si4 0.2500 0.2812 0.1094
Ca1 0.2500 0.1418 0.4250
Ca2 0.2500 0.6418 0.0750
Ca3 0.7500 0.8582 0.5750
Ca4 0.7500 0.3582 0.9250
Ba1 0.2500 0.5283 0.6754
Ba2 0.7500 0.9717 0.1754
Ba3 0.7500 0.4717 0.3246
Ba4 0.2500 0.0283 0.8246

Computed properties:
The calculation puts the density of states at the Fermi level at 0.0 states/eV/f.u. The value obtained for the formation energy without anion corrections is -442 meV/atom. The volume is 382.8 Å³ per cell. For the total energy, the calculation gives -0.2782 Ry/atom. For the offset from the most stable computed form, the calculation gives 0.0 kJ/mol of atoms. Its crystal system is orthorhombic.


(2)
Crystalline Mn5O3F5 at its relaxed geometry, computed with PBEsol.

abc: 6.2223 6.2223 10.8694
angles: 73.11 73.11 60.61
Fractional coordinates of all 26 atoms:
Mn1 0.4237 0.4288 0.1905
Mn2 0.9443 0.4431 0.1850
Mn3 0.0323 0.5328 0.4892
Mn4 0.1766 0.6763 0.9430
Mn5 0.9233 0.9285 0.6907
Mn6 0.4288 0.4237 0.6905
Mn7 0.9285 0.9233 0.1907
Mn8 0.5328 0.0323 0.9892
Mn9 0.6763 0.1766 0.4430
Mn10 0.4431 0.9443 0.6850
O1 0.8426 0.8042 0.0652
O2 0.3048 0.3421 0.0651
O3 0.8042 0.8426 0.5652
O4 0.0735 0.5735 0.2963
O5 0.5735 0.0735 0.7963
O6 0.3421 0.3048 0.5651
F1 0.5715 0.0718 0.3095
F2 0.0718 0.5715 0.8095
F3 0.8169 0.3174 0.5610
F4 0.5102 0.5843 0.8053
F5 0.0103 0.0834 0.3054
F6 0.0834 0.0103 0.8054
F7 0.2961 0.7969 0.5922
F8 0.5843 0.5102 0.3053
F9 0.3174 0.8169 0.0610
F10 0.7969 0.2961 0.0922

Computed properties:
The calculation puts the density of states at the Fermi level at 4.0 states/eV/f.u. The value obtained for the formation energy without anion corrections is -1779 meV/atom. The volume is 345.3 Å³ per cell. For the total energy, the calculation gives -0.5502 Ry/atom. Its crystal system is monoclinic.


(3)
Crystalline SrCrTeI2 at its relaxed geometry, computed with PBEsol.

abc: 6.1031 6.1031 6.3006
angles: 90.00 90.00 90.00
Fractional coordinates of all 5 atoms:
Cr1 0.5000 0.5000 0.5000
I1 0.0000 0.5000 0.0000
I2 0.5000 0.0000 0.0000
Te1 0.0000 0.0000 0.5000
Sr1 0.0000 0.0000 0.0000

Computed properties:
The calculation puts the density of states at the Fermi level at 5.8 states/eV/f.u. The value obtained for the formation energy without anion corrections is 146 meV/atom. The volume is 234.7 Å³ per cell. For the total energy, the calculation gives -0.2707 Ry/atom. Its crystal system is tetragonal.


(4)
Crystalline TlSiHg2 at its relaxed geometry, computed with PBEsol.

abc: 3.5320 5.0566 5.0566
angles: 90.00 90.00 90.00
Fractional coordinates of all 4 atoms:
Tl1 0.5000 0.0000 0.0000
Hg1 0.0000 0.5000 0.0000
Hg2 0.0000 0.0000 0.5000
Si1 0.5000 0.5000 0.5000

Computed properties:
The calculation puts the density of states at the Fermi level at 1.7 states/eV/f.u. The value obtained for the formation energy without anion corrections is 332 meV/atom. The volume is 90.3 Å³ per cell. For the total energy, the calculation gives -0.1504 Ry/atom. Its crystal system is tetragonal.


(5)
Crystalline TiCo3P4O16 at its relaxed geometry, computed with PBEsol.

abc: 4.8259 5.8113 9.7659
angles: 90.00 90.02 90.00
Fractional coordinates of all 24 atoms:
O1 0.2183 0.7923 0.6718
O2 0.8518 0.5000 0.5583
O3 0.2595 0.2074 0.1681
O4 0.2183 0.2077 0.6718
O5 0.7620 0.0000 0.6188
O6 0.2186 0.5000 0.3827
O7 0.7642 0.7023 0.8314
O8 0.7566 0.7079 0.3323
O9 0.6579 0.5000 0.0597
O10 0.1479 0.0000 0.4437
O11 0.7642 0.2977 0.8314
O12 0.3026 0.5000 0.8700
O13 0.7566 0.2921 0.3323
O14 0.7204 0.0000 0.1193
O15 0.3539 0.0000 0.9415
O16 0.2595 0.7926 0.1681
P1 0.9059 0.5000 0.4006
P2 0.6111 0.5000 0.9077
P3 0.0734 0.0000 0.5940
P4 0.4082 0.0000 0.0969
Ti1 0.0360 0.5000 0.7282
Co1 0.9649 0.0000 0.2677
Co2 0.5274 0.0000 0.7718
Co3 0.4610 0.5000 0.2320

Computed properties:
The calculation puts the density of states at the Fermi level at 12.1 states/eV/f.u. The value obtained for the formation energy without anion corrections is -1859 meV/atom. The volume is 273.9 Å³ per cell. For the total energy, the calculation gives -0.5613 Ry/atom. Its crystal system is monoclinic.


(6)
Crystalline LiAsIr at its relaxed geometry, computed with PBEsol.

abc: 2.9294 4.1514 4.1514
angles: 120.00 90.00 90.00
Fractional coordinates of all 3 atoms:
Li1 0.5000 0.3333 0.6667
Ir1 0.0000 0.6667 0.3333
As1 0.0000 0.0000 0.0000

Computed properties:
The calculation puts the density of states at the Fermi level at 1.6 states/eV/f.u. The volume is 43.7 Å³ per cell. The value obtained for the energy of formation from the pure elements is -0.3217 eV per atom. For the total energy, the calculation gives -0.4376 Ry/atom. Its crystal system is hexagonal.


(7)
Crystalline CrTeRh2 at its relaxed geometry, computed with PBEsol.

abc: 2.9460 2.9460 8.3359
angles: 79.82 79.82 60.00
Fractional coordinates of all 4 atoms:
Te1 0.5019 0.5019 0.4944
Rh1 0.7508 0.7508 0.7476
Rh2 0.9947 0.9947 0.0160
Cr1 0.2527 0.2527 0.2419

Computed properties:
The calculation puts the density of states at the Fermi level at 5.4 states/eV/f.u. The value obtained for the formation energy without anion corrections is 442 meV/atom. The volume is 61.3 Å³ per cell. For the total energy, the calculation gives -0.5196 Ry/atom. Its crystal system is trigonal.


(8)
Crystalline YHgBr2 at its relaxed geometry, computed with PBEsol.

abc: 3.6655 5.2519 5.2519
angles: 100.80 90.00 90.00
Fractional coordinates of all 4 atoms:
Br1 0.0000 0.5000 0.0000
Br2 0.0000 0.0000 0.5000
Hg1 0.5000 0.0000 0.0000
Y1 0.5000 0.5000 0.5000

Computed properties:
The calculation puts the density of states at the Fermi level at 1.6 states/eV/f.u. The value obtained for the formation energy without anion corrections is -793 meV/atom. The volume is 99.3 Å³ per cell. For the total energy, the calculation gives -0.2628 Ry/atom. For the offset from the most stable computed form, the calculation gives 6.6 kJ/mol of atoms. Its crystal system is orthorhombic.